No. 1
Here is HfTeSeBr2 after structural relaxation from the Alexandria database. Energies are from PBE.

Lattice parameters (Å, degrees): 5.282 5.266 5.282 90.00 90.00 90.00
Sites, in units of the cell vectors:
Te 0.500 0.500 0.500
Hf 0.000 0.500 0.000
Se 0.000 0.000 0.000
Br 0.000 0.000 0.500
Br 0.500 0.000 0.000

Calculated values
The space group is P4/mmm. The calculation puts the energy above the most stable polymorph in this dataset at 382 kJ/mol of formula units. As for the uncorrected formation energy: 0.41 eV per atom. Its total energy is -17.88 eV for the cell shown. The total moment is 0.00 μB/cell.

=====

No. 2
Here is Hf2TeSeBr after structural relaxation from the Alexandria database. Energies are from PBE.

Lattice parameters (Å, degrees): 5.071 5.031 5.071 90.00 90.00 90.00
Sites, in units of the cell vectors:
Te 0.500 0.500 0.500
Hf 0.000 0.000 0.500
Hf 0.500 0.000 0.000
Se 0.000 0.500 0.000
Br 0.000 0.000 0.000

Calculated values
The space group is P4/mmm. As for the uncorrected formation energy: 0.74 eV per atom. Its total energy is -24.51 eV for the cell shown. The total moment is 0.00 μB/cell.

=====

What is the total moment in the second record? 0.00 μB/cell